VASP calculation (SCAN) on a crystal of ErZr relaxed with PBEsol. Values from VASP.

## Properties
uncorrected energy = -40.455 eV/atom
energy relative to the elements = 0.06 eV/atom
N(E_F) = 2.895 states/eV/cell
total magnetization = 0.085 Bohr magnetons per cell

The structure in Quantum ESPRESSO input format:
```
&SYSTEM
  ibrav = 0, nat = 2, ntyp = 2
/
ATOMIC_SPECIES
Er 167.26 Er.upf
Zr 91.22 Zr.upf
CELL_PARAMETERS angstrom
3.328 0.000 0.000
-1.664 2.882 0.000
0.000 0.000 5.249
ATOMIC_POSITIONS crystal
Er 0.000 0.000 0.000
Zr 0.333 0.667 0.500
```

VASP calculation (SCAN) on a crystal of K2SrMnHg relaxed with PBEsol. Values from VASP.

## Properties
uncorrected energy = -24.550 eV/atom
energy relative to the elements = 0.52 eV/atom
N(E_F) = 7.970 states/eV/cell
total magnetization = 4.311 Bohr magnetons per cell

The structure in Quantum ESPRESSO input format:
```
&SYSTEM
  ibrav = 0, nat = 5, ntyp = 4
/
ATOMIC_SPECIES
K 39.10 K.upf
Sr 87.62 Sr.upf
Mn 54.94 Mn.upf
Hg 200.59 Hg.upf
CELL_PARAMETERS angstrom
6.221 0.000 0.000
0.000 6.221 0.000
0.000 0.000 6.076
ATOMIC_POSITIONS crystal
K 0.000 0.500 0.000
K 0.500 0.000 0.000
Sr 0.000 0.000 0.500
Mn 0.000 0.000 0.000
Hg 0.500 0.500 0.500
```

VASP calculation (SCAN) on a crystal of BaInRhW2 relaxed with PBEsol. Values from VASP.

## Properties
uncorrected energy = -45.462 eV/atom
energy relative to the elements = 3.75 eV/atom
N(E_F) = 6.132 states/eV/cell
total magnetization = 2.671 Bohr magnetons per cell

The structure in Quantum ESPRESSO input format:
```
&SYSTEM
  ibrav = 0, nat = 5, ntyp = 4
/
ATOMIC_SPECIES
Ba 137.33 Ba.upf
In 114.82 In.upf
Rh 102.91 Rh.upf
W 183.84 W.upf
CELL_PARAMETERS angstrom
4.944 0.000 0.000
0.000 4.944 0.000
0.000 0.000 5.485
ATOMIC_POSITIONS crystal
Ba 0.000 0.000 0.000
In 0.000 0.000 0.500
Rh 0.500 0.500 0.500
W 0.000 0.500 0.000
W 0.500 0.000 0.000
```

VASP calculation (SCAN) on a crystal of CaY relaxed with PBEsol. Values from VASP.

## Properties
uncorrected energy = -18.677 eV/atom
energy above the most stable polymorph in this dataset = 19.6 meV/atom
energy relative to the elements = 0.08 eV/atom
N(E_F) = 4.940 states/eV/cell
total magnetization = 0.887 Bohr magnetons per cell

The structure in Quantum ESPRESSO input format:
```
&SYSTEM
  ibrav = 0, nat = 4, ntyp = 2
/
ATOMIC_SPECIES
Ca 40.08 Ca.upf
Y 88.91 Y.upf
CELL_PARAMETERS angstrom
1.814 1.047 12.170
-1.814 1.047 12.170
0.000 -2.095 12.170
ATOMIC_POSITIONS crystal
Ca 0.122 0.122 0.122
Ca 0.878 0.878 0.878
Y 0.371 0.371 0.371
Y 0.629 0.629 0.629
```

VASP calculation (SCAN) on a crystal of La2PRu relaxed with PBEsol. Values from VASP.

## Properties
uncorrected energy = -33.776 eV/atom
energy relative to the elements = -0.92 eV/atom
N(E_F) = 2.962 states/eV/cell
total magnetization = 0.000 Bohr magnetons per cell

The structure in Quantum ESPRESSO input format:
```
&SYSTEM
  ibrav = 0, nat = 4, ntyp = 3
/
ATOMIC_SPECIES
La 138.91 La.upf
P 30.97 P.upf
Ru 101.07 Ru.upf
CELL_PARAMETERS angstrom
4.119 0.000 0.000
0.000 2.101 5.272
0.000 -2.101 5.272
ATOMIC_POSITIONS crystal
La 0.000 0.000 0.000
La 0.500 0.278 0.278
P 0.000 0.703 0.703
Ru 0.500 0.571 0.571
```

VASP calculation (SCAN) on a crystal of Tl2PRh relaxed with PBEsol. Values from VASP.

## Properties
uncorrected energy = -47.380 eV/atom
energy above the most stable polymorph in this dataset = 0.0 meV/atom
energy relative to the elements = -0.16 eV/atom
N(E_F) = 3.261 states/eV/cell
total magnetization = 0.000 Bohr magnetons per cell

The structure in Quantum ESPRESSO input format:
```
&SYSTEM
  ibrav = 0, nat = 4, ntyp = 3
/
ATOMIC_SPECIES
Tl 204.38 Tl.upf
P 30.97 P.upf
Rh 102.91 Rh.upf
CELL_PARAMETERS angstrom
1.948 1.125 6.893
-1.948 1.125 6.893
0.000 -2.249 6.893
ATOMIC_POSITIONS crystal
Tl 0.000 0.000 0.000
Tl 0.210 0.210 0.210
P 0.770 0.770 0.770
Rh 0.440 0.440 0.440
```